(1)
First-principles (PBE) data for crystalline La2PmEr3 at its relaxed geometry, as listed in the Alexandria database.

Geometry as POSCAR:
```
La2PmEr3
1.0
-1.004 -1.015 -5.401
0.936 -7.821 4.185
-8.717 5.513 0.584
La Er Pm
4 6 2
direct
0.516 0.032 0.868
0.484 0.968 0.132
0.221 0.443 0.863
0.779 0.557 0.137
0.390 0.781 0.354
0.946 0.892 0.596
0.297 0.595 0.581
0.703 0.405 0.419
0.054 0.108 0.404
0.610 0.219 0.646
0.137 0.275 0.151
0.863 0.725 0.849
```

Computed properties:
**Crystal system**: monoclinic
**Energy above the most stable polymorph in this dataset**: 0.000 eV/atom
**DFT formation energy**: 94 meV per atom
**Energy**: -4.622 eV/atom

(2)
First-principles (PBE) data for crystalline CeTmZnHg at its relaxed geometry, as listed in the Alexandria database.

Geometry as POSCAR:
```
CeTmZnHg
1.0
-5.084 0.566 0.977
-3.056 -4.197 0.411
-1.929 -1.372 4.639
Ce Tm Zn Hg
1 1 1 1
direct
0.750 0.750 0.750
0.250 0.250 0.250
0.000 0.000 0.000
0.500 0.500 0.500
```

Computed properties:
**Crystal system**: cubic
**DFT formation energy**: -290 meV per atom
**Energy**: -3.285 eV/atom

(3)
First-principles (PBE) data for crystalline Nd2MgZn7 at its relaxed geometry, as listed in the Alexandria database.

Geometry as POSCAR:
```
Nd2MgZn7
1.0
-2.772 -3.178 -0.315
1.665 -1.794 3.449
-7.181 5.630 6.394
Mg Zn Nd
1 7 2
direct
0.500 0.500 0.000
0.500 0.000 0.149
0.000 0.500 0.628
0.000 0.500 0.851
0.000 0.000 0.500
0.500 0.500 0.500
0.500 0.000 0.372
0.000 0.000 0.000
0.500 0.000 0.734
0.000 0.500 0.266
```

Computed properties:
**Crystal system**: tetragonal
**DFT formation energy**: -294 meV per atom
**Energy**: -2.298 eV/atom